No. 1
First-principles (PBE-GGA) data for a relaxed Li3NbGe crystal, as listed in Alexandria via LeMat-Bulk.

As for the density of states at the Fermi level: 0.62 states/eV per atom. Its energy above the most stable polymorph in this dataset is 0.587 eV/atom. Its crystal system is cubic. The formation energy is 1.29 eV per atom.

It has space group Pm-3m (No. 221), with a = 4.939 Å, b = 4.939 Å, c = 4.939 Å, α = 90.00°, β = 90.00° and γ = 90.00°. The asymmetric unit holds Li at (0.000, 0.000, 0.500), Nb at (0.000, 0.000, 0.000) and Ge at (0.500, 0.500, 0.500).

***

No. 2
First-principles (PBE-GGA) data for a relaxed Li3NbGe crystal, as listed in Alexandria via LeMat-Bulk.

As for the density of states at the Fermi level: 0.35 states/eV per atom. Its energy above the most stable polymorph in this dataset is 0.000 eV/atom. Its crystal system is cubic. The formation energy is 0.70 eV per atom.

It has space group Pm-3m (No. 221), with a = 4.503 Å, b = 4.503 Å, c = 4.503 Å, α = 90.00°, β = 90.00° and γ = 90.00°. The asymmetric unit holds Li at (0.000, 0.000, 0.500), Nb at (0.500, 0.500, 0.500) and Ge at (0.000, 0.000, 0.000).

***

No. 3
First-principles (PBE-GGA) data for a relaxed LiNb2Ge4 crystal, as listed in Alexandria via LeMat-Bulk.

As for the density of states at the Fermi level: 0.74 states/eV per atom. Its crystal system is tetragonal. The formation energy is 0.41 eV per atom.

It has space group I4/mmm (No. 139), with a = 4.539 Å, b = 4.539 Å, c = 13.204 Å, α = 90.00°, β = 90.00° and γ = 90.00°. The asymmetric unit holds Li at (0.000, 0.000, 0.000), Nb at (0.000, 0.000, 0.395), Ge at (0.000, 0.000, 0.190) and Ge at (0.000, 0.500, 0.000).

***

No. 4
First-principles (PBE-GGA) data for a relaxed Li2NbGe crystal, as listed in Alexandria via LeMat-Bulk.

As for the density of states at the Fermi level: 0.72 states/eV per atom. Its crystal system is tetragonal. The formation energy is 0.33 eV per atom.

It has space group I-42d (No. 122), with a = 7.149 Å, b = 7.149 Å, c = 5.209 Å, α = 90.00°, β = 90.00° and γ = 90.00°. The asymmetric unit holds Li at (0.220, 0.250, 0.125), Nb at (0.000, 0.000, 0.500) and Ge at (0.000, 0.000, 0.000).

***

No. 5
First-principles (PBE-GGA) data for a relaxed LiNb2Ge crystal, as listed in Alexandria via LeMat-Bulk.

As for the density of states at the Fermi level: 1.23 states/eV per atom. Its crystal system is tetragonal. The formation energy is 0.27 eV per atom.

It has space group I-42d (No. 122), with a = 7.188 Å, b = 7.188 Å, c = 5.350 Å, α = 90.00°, β = 90.00° and γ = 90.00°. The asymmetric unit holds Li at (0.000, 0.000, 0.000), Nb at (0.241, 0.750, 0.625) and Ge at (0.000, 0.000, 0.500).

***

No. 6
First-principles (PBE-GGA) data for a relaxed LiNbGeO5 crystal, as listed in Alexandria via LeMat-Bulk.

As for the density of states at the Fermi level: 0.00 states/eV per atom. Its energy above the most stable polymorph in this dataset is 0.047 eV/atom. Its crystal system is monoclinic. The raw formation energy comes out at -2.14 eV/atom.

It has space group C2/c (No. 15), with a = 6.388 Å, b = 9.253 Å, c = 7.482 Å, α = 90.00°, β = 114.42° and γ = 90.00°. The asymmetric unit holds Li at (0.000, 0.207, 0.250), Nb at (0.000, 0.500, 0.000), Ge at (0.000, 0.201, 0.750), O at (0.000, 0.425, 0.250), O at (0.146, 0.311, 0.641) and O at (0.192, 0.086, 0.932).

***

no.,uncorrected energy (Ry per atom)
1,-0.20531
2,-0.24848
3,-0.39524
4,-0.31604
5,-0.47017
6,-0.53720